w | Here is a relaxed KAgSeBr2 crystal from Alexandria via LeMat-Bulk. Energies are from PBE-GGA.

```
data_KAgSeBr2
_cell_length_a 5.570
_cell_length_b 5.570
_cell_length_c 5.112
_cell_angle_alpha 90.00
_cell_angle_beta 90.00
_cell_angle_gamma 90.00
_space_group_name_H-M_alt 'P 1'
_space_group_IT_number 1
loop_
_space_group_symop_operation_xyz
'x,y,z'
loop_
_atom_site_label
_atom_site_type_symbol
_atom_site_fract_x
_atom_site_fract_y
_atom_site_fract_z
K1 K 0.500 0.500 0.500
Se1 Se 0.000 0.000 0.500
Br1 Br 0.000 0.500 0.000
Br2 Br 0.500 0.000 0.000
Ag1 Ag 0.000 0.000 0.000
```


x | Here is a relaxed KAgSeBr2 crystal from Alexandria via LeMat-Bulk. Energies are from PBE-GGA.

```
data_KAgSeBr2
_cell_length_a 6.051
_cell_length_b 6.051
_cell_length_c 5.930
_cell_angle_alpha 90.00
_cell_angle_beta 90.00
_cell_angle_gamma 90.00
_space_group_name_H-M_alt 'P 1'
_space_group_IT_number 1
loop_
_space_group_symop_operation_xyz
'x,y,z'
loop_
_atom_site_label
_atom_site_type_symbol
_atom_site_fract_x
_atom_site_fract_y
_atom_site_fract_z
K1 K 0.000 0.000 0.000
Se1 Se 0.000 0.000 0.500
Br1 Br 0.000 0.500 0.000
Br2 Br 0.500 0.000 0.000
Ag1 Ag 0.500 0.500 0.500
```


The computed energies, referenced to the most stable structure and given in meV per atom, are w 0; x 741.


w | Here is a relaxed LaAgBr2 crystal from Alexandria via LeMat-Bulk. Energies are from PBE-GGA.

```
data_LaAgBr2
_cell_length_a 10.144
_cell_length_b 10.144
_cell_length_c 10.144
_cell_angle_alpha 21.97
_cell_angle_beta 21.97
_cell_angle_gamma 21.97
_space_group_name_H-M_alt 'P 1'
_space_group_IT_number 1
loop_
_space_group_symop_operation_xyz
'x,y,z'
loop_
_atom_site_label
_atom_site_type_symbol
_atom_site_fract_x
_atom_site_fract_y
_atom_site_fract_z
Br1 Br 0.903 0.903 0.903
Br2 Br 0.097 0.097 0.097
Ag1 Ag 0.000 0.000 0.000
La1 La 0.500 0.500 0.500
```


x | Here is a relaxed LaAgBr2 crystal from Alexandria via LeMat-Bulk. Energies are from PBE-GGA.

```
data_LaAgBr2
_cell_length_a 5.854
_cell_length_b 5.854
_cell_length_c 7.698
_cell_angle_alpha 61.15
_cell_angle_beta 61.15
_cell_angle_gamma 40.92
_space_group_name_H-M_alt 'P 1'
_space_group_IT_number 1
loop_
_space_group_symop_operation_xyz
'x,y,z'
loop_
_atom_site_label
_atom_site_type_symbol
_atom_site_fract_x
_atom_site_fract_y
_atom_site_fract_z
Br1 Br 0.969 0.969 0.947
Br2 Br 0.814 0.814 0.604
Ag1 Ag 0.211 0.211 0.311
La1 La 0.506 0.506 0.638
```


y | Here is a relaxed LaAgBr2 crystal from Alexandria via LeMat-Bulk. Energies are from PBE-GGA.

```
data_LaAgBr2
_cell_length_a 3.869
_cell_length_b 3.871
_cell_length_c 9.094
_cell_angle_alpha 64.87
_cell_angle_beta 90.00
_cell_angle_gamma 90.00
_space_group_name_H-M_alt 'P 1'
_space_group_IT_number 1
loop_
_space_group_symop_operation_xyz
'x,y,z'
loop_
_atom_site_label
_atom_site_type_symbol
_atom_site_fract_x
_atom_site_fract_y
_atom_site_fract_z
Br1 Br 0.000 0.102 0.899
Br2 Br 0.500 0.185 0.313
Ag1 Ag 0.500 0.753 0.748
La1 La 0.000 0.461 0.540
```


z | Here is a relaxed LaAgBr2 crystal from Alexandria via LeMat-Bulk. Energies are from PBE-GGA.

```
data_LaAgBr2
_cell_length_a 4.864
_cell_length_b 4.859
_cell_length_c 4.297
_cell_angle_alpha 90.00
_cell_angle_beta 90.00
_cell_angle_gamma 90.00
_space_group_name_H-M_alt 'P 1'
_space_group_IT_number 1
loop_
_space_group_symop_operation_xyz
'x,y,z'
loop_
_atom_site_label
_atom_site_type_symbol
_atom_site_fract_x
_atom_site_fract_y
_atom_site_fract_z
Br1 Br 0.000 0.000 0.000
Br2 Br 0.500 0.500 0.000
Ag1 Ag 0.000 0.500 0.500
La1 La 0.500 0.000 0.500
```


The computed energies, referenced to the most stable structure and given in meV per atom, are w 164; x 0; y 70; z 141.


w | Here is a relaxed LaAgBr crystal from Alexandria via LeMat-Bulk. Energies are from PBE-GGA.

```
data_LaAgBr
_cell_length_a 4.607
_cell_length_b 4.607
_cell_length_c 10.654
_cell_angle_alpha 89.90
_cell_angle_beta 89.90
_cell_angle_gamma 63.39
_space_group_name_H-M_alt 'P 1'
_space_group_IT_number 1
loop_
_space_group_symop_operation_xyz
'x,y,z'
loop_
_atom_site_label
_atom_site_type_symbol
_atom_site_fract_x
_atom_site_fract_y
_atom_site_fract_z
La1 La 0.972 0.972 0.680
La2 La 0.028 0.028 0.320
Ag1 Ag 0.672 0.672 0.502
Ag2 Ag 0.328 0.328 0.498
Br1 Br 0.681 0.681 0.162
Br2 Br 0.319 0.319 0.838
```


x | Here is a relaxed LaAgBr crystal from Alexandria via LeMat-Bulk. Energies are from PBE-GGA.

```
data_LaAgBr
_cell_length_a 5.132
_cell_length_b 5.132
_cell_length_c 5.132
_cell_angle_alpha 60.00
_cell_angle_beta 60.00
_cell_angle_gamma 60.00
_space_group_name_H-M_alt 'P 1'
_space_group_IT_number 1
loop_
_space_group_symop_operation_xyz
'x,y,z'
loop_
_atom_site_label
_atom_site_type_symbol
_atom_site_fract_x
_atom_site_fract_y
_atom_site_fract_z
Br1 Br 0.500 0.500 0.500
Ag1 Ag 0.000 0.000 0.000
La1 La 0.750 0.750 0.750
```


y | Here is a relaxed LaAgBr crystal from Alexandria via LeMat-Bulk. Energies are from PBE-GGA.

```
data_LaAgBr
_cell_length_a 7.282
_cell_length_b 7.283
_cell_length_c 7.283
_cell_angle_alpha 150.76
_cell_angle_beta 150.76
_cell_angle_gamma 41.83
_space_group_name_H-M_alt 'P 1'
_space_group_IT_number 1
loop_
_space_group_symop_operation_xyz
'x,y,z'
loop_
_atom_site_label
_atom_site_type_symbol
_atom_site_fract_x
_atom_site_fract_y
_atom_site_fract_z
Br1 Br 0.697 0.697 0.000
Ag1 Ag 0.976 0.976 0.000
La1 La 0.327 0.327 0.000
```


z | Here is a relaxed LaAgBr crystal from Alexandria via LeMat-Bulk. Energies are from PBE-GGA.

```
data_LaAgBr
_cell_length_a 5.142
_cell_length_b 5.142
_cell_length_c 3.772
_cell_angle_alpha 90.00
_cell_angle_beta 90.00
_cell_angle_gamma 120.00
_space_group_name_H-M_alt 'P 1'
_space_group_IT_number 1
loop_
_space_group_symop_operation_xyz
'x,y,z'
loop_
_atom_site_label
_atom_site_type_symbol
_atom_site_fract_x
_atom_site_fract_y
_atom_site_fract_z
Br1 Br 0.667 0.333 0.500
Ag1 Ag 0.000 0.000 0.000
La1 La 0.333 0.667 0.500
```


The computed energies, referenced to the most stable structure and given in meV per atom, are w 0; x 334; y 241; z 311.


w | Here is a relaxed LaAgBr crystal from Alexandria via LeMat-Bulk. Energies are from PBE-GGA.

```
data_LaAgBr
_cell_length_a 5.026
_cell_length_b 5.026
_cell_length_c 5.026
_cell_angle_alpha 60.00
_cell_angle_beta 60.00
_cell_angle_gamma 60.00
_space_group_name_H-M_alt 'P 1'
_space_group_IT_number 1
loop_
_space_group_symop_operation_xyz
'x,y,z'
loop_
_atom_site_label
_atom_site_type_symbol
_atom_site_fract_x
_atom_site_fract_y
_atom_site_fract_z
Br1 Br 0.750 0.750 0.750
Ag1 Ag 0.500 0.500 0.500
La1 La 0.000 0.000 0.000
```


x | Here is a relaxed LaAgBr crystal from Alexandria via LeMat-Bulk. Energies are from PBE-GGA.

```
data_LaAgBr
_cell_length_a 4.880
_cell_length_b 4.880
_cell_length_c 9.061
_cell_angle_alpha 74.38
_cell_angle_beta 74.38
_cell_angle_gamma 60.00
_space_group_name_H-M_alt 'P 1'
_space_group_IT_number 1
loop_
_space_group_symop_operation_xyz
'x,y,z'
loop_
_atom_site_label
_atom_site_type_symbol
_atom_site_fract_x
_atom_site_fract_y
_atom_site_fract_z
La1 La 0.569 0.569 0.293
La2 La 0.431 0.431 0.707
Br1 Br 0.291 0.291 0.127
Br2 Br 0.709 0.709 0.873
Ag1 Ag 0.835 0.835 0.496
Ag2 Ag 0.165 0.165 0.504
```


The computed energies, referenced to the most stable structure and given in meV per atom, are w 487; x 0.


w | Here is a relaxed LaAgBr4 crystal from Alexandria via LeMat-Bulk. Energies are from PBE-GGA.

```
data_LaAgBr4
_cell_length_a 4.383
_cell_length_b 7.256
_cell_length_c 14.083
_cell_angle_alpha 88.11
_cell_angle_beta 90.00
_cell_angle_gamma 90.00
_space_group_name_H-M_alt 'P 1'
_space_group_IT_number 1
loop_
_space_group_symop_operation_xyz
'x,y,z'
loop_
_atom_site_label
_atom_site_type_symbol
_atom_site_fract_x
_atom_site_fract_y
_atom_site_fract_z
La1 La 0.000 0.000 0.500
La2 La 0.500 0.500 0.000
Ag1 Ag 0.500 0.500 0.500
Ag2 Ag 0.000 0.000 0.000
Br1 Br 0.500 0.150 0.376
Br2 Br 0.000 0.350 0.124
Br3 Br 0.500 0.850 0.624
Br4 Br 0.000 0.650 0.876
Br5 Br 0.999 0.662 0.393
Br6 Br 0.499 0.838 0.107
Br7 Br 0.001 0.338 0.607
Br8 Br 0.501 0.162 0.893
```


x | Here is a relaxed LaAgBr4 crystal from Alexandria via LeMat-Bulk. Energies are from PBE-GGA.

```
data_LaAgBr4
_cell_length_a 6.266
_cell_length_b 6.266
_cell_length_c 6.266
_cell_angle_alpha 60.00
_cell_angle_beta 60.00
_cell_angle_gamma 60.00
_space_group_name_H-M_alt 'P 1'
_space_group_IT_number 1
loop_
_space_group_symop_operation_xyz
'x,y,z'
loop_
_atom_site_label
_atom_site_type_symbol
_atom_site_fract_x
_atom_site_fract_y
_atom_site_fract_z
La1 La 0.750 0.750 0.750
Ag1 Ag 0.000 0.000 0.000
Br1 Br 0.876 0.375 0.375
Br2 Br 0.375 0.375 0.876
Br3 Br 0.375 0.876 0.375
Br4 Br 0.375 0.375 0.375
```


The computed energies, referenced to the most stable structure and given in meV per atom, are w 0; x 1232.


w | Here is a relaxed La2AgBr2 crystal from Alexandria via LeMat-Bulk. Energies are from PBE-GGA.

```
data_La2AgBr2
_cell_length_a 8.536
_cell_length_b 8.536
_cell_length_c 3.909
_cell_angle_alpha 90.00
_cell_angle_beta 90.00
_cell_angle_gamma 90.00
_space_group_name_H-M_alt 'P 1'
_space_group_IT_number 1
loop_
_space_group_symop_operation_xyz
'x,y,z'
loop_
_atom_site_label
_atom_site_type_symbol
_atom_site_fract_x
_atom_site_fract_y
_atom_site_fract_z
Br1 Br 0.133 0.633 0.500
Br2 Br 0.633 0.867 0.500
Br3 Br 0.867 0.367 0.500
Br4 Br 0.367 0.133 0.500
Ag1 Ag 0.000 0.000 0.000
Ag2 Ag 0.500 0.500 0.000
La1 La 0.337 0.837 0.000
La2 La 0.837 0.663 0.000
La3 La 0.663 0.163 0.000
La4 La 0.163 0.337 0.000
```


x | Here is a relaxed La2AgBr2 crystal from Alexandria via LeMat-Bulk. Energies are from PBE-GGA.

```
data_La2AgBr2
_cell_length_a 4.332
_cell_length_b 4.332
_cell_length_c 11.453
_cell_angle_alpha 79.10
_cell_angle_beta 79.10
_cell_angle_gamma 60.00
_space_group_name_H-M_alt 'P 1'
_space_group_IT_number 1
loop_
_space_group_symop_operation_xyz
'x,y,z'
loop_
_atom_site_label
_atom_site_type_symbol
_atom_site_fract_x
_atom_site_fract_y
_atom_site_fract_z
La1 La 0.610 0.610 0.169
La2 La 0.390 0.390 0.831
Ag1 Ag 0.000 0.000 0.000
Br1 Br 0.222 0.222 0.335
Br2 Br 0.778 0.778 0.665
```


The computed energies, referenced to the most stable structure and given in meV per atom, are w 231; x 0.


w | Here is a relaxed LaAgSe2Br crystal from Alexandria via LeMat-Bulk. Energies are from PBE-GGA.

```
data_LaAgSe2Br
_cell_length_a 5.164
_cell_length_b 5.164
_cell_length_c 5.088
_cell_angle_alpha 90.00
_cell_angle_beta 90.00
_cell_angle_gamma 90.00
_space_group_name_H-M_alt 'P 1'
_space_group_IT_number 1
loop_
_space_group_symop_operation_xyz
'x,y,z'
loop_
_atom_site_label
_atom_site_type_symbol
_atom_site_fract_x
_atom_site_fract_y
_atom_site_fract_z
Se1 Se 0.000 0.500 0.000
Se2 Se 0.500 0.000 0.000
Br1 Br 0.000 0.000 0.500
Ag1 Ag 0.000 0.000 0.000
La1 La 0.500 0.500 0.500
```


x | Here is a relaxed LaAgSe2Br crystal from Alexandria via LeMat-Bulk. Energies are from PBE-GGA.

```
data_LaAgSe2Br
_cell_length_a 5.754
_cell_length_b 5.754
_cell_length_c 5.826
_cell_angle_alpha 90.00
_cell_angle_beta 90.00
_cell_angle_gamma 90.00
_space_group_name_H-M_alt 'P 1'
_space_group_IT_number 1
loop_
_space_group_symop_operation_xyz
'x,y,z'
loop_
_atom_site_label
_atom_site_type_symbol
_atom_site_fract_x
_atom_site_fract_y
_atom_site_fract_z
Se1 Se 0.000 0.500 0.000
Se2 Se 0.500 0.000 0.000
Br1 Br 0.000 0.000 0.500
Ag1 Ag 0.500 0.500 0.500
La1 La 0.000 0.000 0.000
```


The computed energies, referenced to the most stable structure and given in meV per atom, are w 0; x 165.


w | Here is a relaxed Li2AgBr4 crystal from Alexandria via LeMat-Bulk. Energies are from PBE-GGA.

```
data_Li2AgBr4
_cell_length_a 7.676
_cell_length_b 7.147
_cell_length_c 13.184
_cell_angle_alpha 90.00
_cell_angle_beta 90.00
_cell_angle_gamma 90.00
_space_group_name_H-M_alt 'P 1'
_space_group_IT_number 1
loop_
_space_group_symop_operation_xyz
'x,y,z'
loop_
_atom_site_label
_atom_site_type_symbol
_atom_site_fract_x
_atom_site_fract_y
_atom_site_fract_z
Li1 Li 0.922 0.939 0.856
Li2 Li 0.422 0.561 0.144
Li3 Li 0.078 0.439 0.644
Li4 Li 0.578 0.061 0.356
Li5 Li 0.078 0.061 0.144
Li6 Li 0.578 0.439 0.856
Li7 Li 0.922 0.561 0.356
Li8 Li 0.422 0.939 0.644
Ag1 Ag 0.000 0.000 0.500
Ag2 Ag 0.500 0.500 0.500
Ag3 Ag 0.000 0.500 0.000
Ag4 Ag 0.500 0.000 0.000
Br1 Br 0.856 0.681 0.552
Br2 Br 0.356 0.819 0.448
Br3 Br 0.144 0.181 0.948
Br4 Br 0.644 0.319 0.052
Br5 Br 0.144 0.319 0.448
Br6 Br 0.644 0.181 0.552
Br7 Br 0.856 0.819 0.052
Br8 Br 0.356 0.681 0.948
Br9 Br 0.110 0.071 0.689
Br10 Br 0.610 0.429 0.311
Br11 Br 0.890 0.571 0.811
Br12 Br 0.390 0.929 0.189
Br13 Br 0.890 0.929 0.311
Br14 Br 0.390 0.571 0.689
Br15 Br 0.110 0.429 0.189
Br16 Br 0.610 0.071 0.811
```


x | Here is a relaxed Li2AgBr4 crystal from Alexandria via LeMat-Bulk. Energies are from PBE-GGA.

```
data_Li2AgBr4
_cell_length_a 5.382
_cell_length_b 5.382
_cell_length_c 7.897
_cell_angle_alpha 70.08
_cell_angle_beta 70.08
_cell_angle_gamma 90.00
_space_group_name_H-M_alt 'P 1'
_space_group_IT_number 1
loop_
_space_group_symop_operation_xyz
'x,y,z'
loop_
_atom_site_label
_atom_site_type_symbol
_atom_site_fract_x
_atom_site_fract_y
_atom_site_fract_z
Br1 Br 0.805 0.805 0.390
Br2 Br 0.195 0.195 0.610
Br3 Br 0.000 0.500 0.000
Br4 Br 0.500 0.000 0.000
Ag1 Ag 0.000 0.000 0.000
Li1 Li 0.629 0.629 0.743
Li2 Li 0.371 0.371 0.257
```


The computed energies, referenced to the most stable structure and given in meV per atom, are w 0; x 175.